DFT (PBE) results for crystalline HSe3F at its relaxed geometry.

Volume, Å³ per atom: 14.83
E_tot, eV/atom: -2.76
Space-group type: No. 221

The structure in POSCAR format:
```
HSe3F
1.0
-3.821 -1.744 -0.104
1.659 -3.699 1.102
-0.549 0.961 4.053
H Se F
1 3 1
Direct
0.000 0.000 0.000
0.000 0.500 0.000
0.000 0.000 0.500
0.500 0.000 0.000
0.500 0.500 0.500
```



DFT (PBE) results for crystalline MnGa2HgGe at its relaxed geometry.

Volume, Å³ per atom: 20.91
DFT formation energy, eV per atom: 0.112
Space-group type: No. 123

The structure in POSCAR format:
```
MnGa2HgGe
1.0
4.781 0.000 0.000
0.000 4.781 0.000
0.000 0.000 4.575
Ge Mn Hg Ga
1 1 1 2
Direct
0.000 0.000 0.500
0.000 0.000 0.000
0.500 0.500 0.500
0.000 0.500 0.000
0.500 0.000 0.000
```



no.,size of the total moment (μB/atom)
1,0.00
2,0.16